Record 1
VASP calculation (PBE-GGA) on an optimized crystal structure of ZrInS.

a = 12.564 Å, b = 3.511 Å, c = 3.511 Å
α = 58.86°, β = 90.00°, γ = 90.00°
Atoms (fractional coordinates):
Zr: 0.000 0.000 0.000
Zr: 0.500 0.121 0.121
In: 0.186 0.316 0.316
In: 0.814 0.316 0.316
S: 0.370 0.794 0.794
S: 0.630 0.794 0.794

## Properties
Energy relative to the elements, uncorrected ... -689 meV/atom
Total magnetization ... 0.00 Bohr magnetons per cell

=====

Record 2
VASP calculation (PBE-GGA) on an optimized crystal structure of Dy2Ho9Mg.

a = 4.952 Å, b = 4.952 Å, c = 14.923 Å
α = 90.00°, β = 90.00°, γ = 90.00°
Atoms (fractional coordinates):
Dy: 0.000 0.000 0.168
Dy: 0.000 0.000 0.832
Ho: 0.000 0.500 0.000
Ho: 0.000 0.500 0.336
Ho: 0.000 0.500 0.664
Ho: 0.500 0.000 0.000
Ho: 0.500 0.000 0.336
Ho: 0.500 0.000 0.664
Ho: 0.500 0.500 0.171
Ho: 0.500 0.500 0.500
Ho: 0.500 0.500 0.829
Mg: 0.000 0.000 0.500

## Properties
Calculated total energy ... -4.31 eV/atom
Total magnetization ... 0.00 Bohr magnetons per cell

=====

Record 3
VASP calculation (PBE-GGA) on an optimized crystal structure of Pr2TlO.

a = 4.748 Å, b = 4.748 Å, c = 9.273 Å
α = 90.07°, β = 90.07°, γ = 90.00°
Atoms (fractional coordinates):
Pr: 0.249 0.249 0.668
Pr: 0.250 0.750 0.000
Pr: 0.750 0.250 0.000
Pr: 0.751 0.751 0.332
Tl: 0.251 0.251 0.303
Tl: 0.749 0.749 0.697
O: 0.250 0.250 0.925
O: 0.750 0.750 0.075

## Properties
Energy relative to the elements, uncorrected ... -1534 meV/atom
Total magnetization ... 0.00 Bohr magnetons per cell

=====

| no. | D(E_F) (states/eV per cell) |
| --- | --- |
| 1 | 4.61 |
| 2 | 16.14 |
| 3 | 8.18 |